First-principles (PBE) data for a relaxed La2Nd2Rh3 crystal, as listed in Alexandria via LeMat-Bulk.

Lattice parameters (Å, degrees): 4.1856 7.1129 7.1529 100.22 90.02 107.05
Positions (direct):
1 La 0.6234 0.2475 0.8827
2 Rh 0.7605 0.5202 0.2529
3 Nd 0.1379 0.2741 0.3624
4 Nd 0.8621 0.7259 0.6376
5 Rh 0.2395 0.4798 0.7471
6 La 0.3766 0.7525 0.1173
7 Rh 0.0000 0.0000 0.0000

Calculated values
- E above lowest polymorph (eV per atom) = 0.064
- DFT formation energy (eV per atom) = -0.61
- M_tot (μB per formula unit) = 0.00
- space-group type = P-1 (2)
- VASP energy (eV/cell) = -45.7

First-principles (PBE) data for a relaxed Tb4Ho3Bi8 crystal, as listed in Alexandria via LeMat-Bulk.

Lattice parameters (Å, degrees): 8.9182 8.9103 8.9103 89.99 120.05 120.05
Positions (direct):
1 Bi 0.0018 0.2564 0.2564
2 Ho 0.5000 0.0000 0.5000
3 Bi 0.5000 0.2507 0.7493
4 Bi 0.0000 0.7446 0.2554
5 Bi 0.4889 0.7436 0.7436
6 Tb 0.0000 0.0000 0.5000
7 Bi 0.5000 0.7493 0.2507
8 Bi 0.5111 0.2564 0.2564
9 Ho 0.5000 0.5000 0.0000
10 Bi 0.9982 0.7436 0.7436
11 Ho 0.5000 0.5000 0.5000
12 Tb 0.5000 0.0000 0.0000
13 Tb 0.0000 0.5000 0.0000
14 Bi 0.0000 0.2554 0.7446
15 Tb 0.0000 0.0000 0.0000

Calculated values
- DFT formation energy (eV per atom) = -0.68
- M_tot (μB per formula unit) = 0.00
- space-group type = C2/m (12)
- VASP energy (eV/cell) = -73.5

First-principles (PBE) data for a relaxed NpTlHg2I6 crystal, as listed in Alexandria via LeMat-Bulk.

Lattice parameters (Å, degrees): 9.0380 9.0370 8.3096 90.00 122.95 119.99
Each line ends with the local moment (μB).
Positions (direct):
1 I 0.0879 0.1844 0.7219  -0.12
2 Tl 0.9966 0.4979 0.4800  -0.01
3 Hg 0.3564 0.6776 0.0201  -0.06
4 I 0.4417 0.0931 0.2387  -0.12
5 Hg 0.6364 0.3177 0.9402  -0.06
6 I 0.1598 0.3476 0.2387  -0.12
7 Np 0.9966 0.9977 0.9803  3.08
8 I 0.9052 0.8111 0.2388  -0.12
9 I 0.5515 0.9025 0.7219  -0.12
10 I 0.8335 0.6479 0.7219  -0.12

Calculated values
- M_tot (μB per formula unit) = 1.96
- space-group type = R-3 (148)
- VASP energy (eV/cell) = -30.1
- ΔE_f (raw) (eV/atom) = -0.49

First-principles (PBE) data for a relaxed ZrTaCu2 crystal, as listed in Alexandria via LeMat-Bulk.

Lattice parameters (Å, degrees): 4.0927 4.0937 3.8641 90.00 90.00 90.00
Positions (direct):
1 Cu 0.5000 0.5000 0.0000
2 Ta 0.5000 0.0000 0.5000
3 Zr 0.0000 0.5000 0.5000
4 Cu 0.0000 0.0000 0.0000

Calculated values
- DFT formation energy (eV per atom) = 0.07
- M_tot (μB per formula unit) = 0.00
- space-group type = P4/mmm (123)
- VASP energy (eV/cell) = -28.3

First-principles (PBE) data for a relaxed ZrTc2 crystal, as listed in Alexandria via LeMat-Bulk.

Lattice parameters (Å, degrees): 5.4286 4.5716 8.1792 90.00 90.00 90.00
Positions (direct):
1 Tc 0.8365 0.7500 0.4323
2 Tc 0.9947 0.7500 0.7391
3 Tc 0.5053 0.2500 0.2391
4 Tc 0.0053 0.2500 0.2609
5 Zr 0.8337 0.7500 0.0894
6 Zr 0.6663 0.2500 0.5894
7 Zr 0.3337 0.7500 0.4106
8 Tc 0.6635 0.2500 0.9323
9 Tc 0.1635 0.2500 0.5677
10 Tc 0.4947 0.7500 0.7609
11 Tc 0.3365 0.7500 0.0677
12 Zr 0.1663 0.2500 0.9106

Calculated values
- E above lowest polymorph (eV per atom) = 0.257
- DFT formation energy (eV per atom) = -0.06
- M_tot (μB per formula unit) = 0.00
- space-group type = Pnma (62)
- VASP energy (eV/cell) = -117.8